Record 1
This record from Alexandria via LeMat-Bulk describes a relaxed structure of Cs2Ir2W. The functional is PBE.

Structure (POSCAR):
```
Cs2Ir2W
1.0
6.559 0.000 0.000
0.000 6.559 0.000
0.000 0.000 6.287
Cs Ir W
4 4 2
Direct
0.184 0.316 0.000
0.316 0.816 0.000
0.684 0.184 0.000
0.816 0.684 0.000
0.135 0.635 0.500
0.365 0.135 0.500
0.635 0.865 0.500
0.865 0.365 0.500
0.000 0.000 0.500
0.500 0.500 0.500
```

SG ... P4/mbm (127)
Energy of formation from the pure elements ... 0.84 eV per atom
D(E_F) ... 10.43 states/eV/cell
Uncorrected energy ... -0.4141 Ry per atom

***

Record 2
This record from Alexandria via LeMat-Bulk describes a relaxed structure of TaMn4Ru. The functional is PBE.

Structure (POSCAR):
```
TaMn4Ru
1.0
0.000 3.344 3.344
3.344 0.000 3.344
3.344 3.344 0.000
Ta Mn Ru
1 4 1
Direct
0.000 0.000 0.000
0.124 0.625 0.625
0.625 0.124 0.625
0.625 0.625 0.124
0.625 0.625 0.625
0.250 0.250 0.250
```

SG ... F-43m (216)
Energy of formation from the pure elements ... -0.11 eV per atom
D(E_F) ... 6.61 states/eV/cell
Uncorrected energy ... -0.7161 Ry per atom

***

Record 3
This record from Alexandria via LeMat-Bulk describes a relaxed structure of Cu2AgHg. The functional is PBE.

Structure (POSCAR):
```
Cu2AgHg
1.0
2.953 0.000 0.000
-1.476 2.557 0.000
0.000 0.000 26.093
Cu Ag Hg
6 3 3
Direct
0.000 0.000 0.247
0.000 0.000 0.753
0.333 0.667 0.420
0.333 0.667 0.914
0.667 0.333 0.086
0.667 0.333 0.580
0.000 0.000 0.500
0.333 0.667 0.167
0.667 0.333 0.833
0.000 0.000 0.000
0.333 0.667 0.667
0.667 0.333 0.333
```

SG ... R-3m (166)
Energy of formation from the pure elements ... 0.22 eV per atom
D(E_F) ... 3.22 states/eV/cell
Uncorrected energy ... -0.1921 Ry per atom

***

Record 4
This record from Alexandria via LeMat-Bulk describes a relaxed structure of CsNa2UCl8. The functional is PBE.

Structure (POSCAR):
```
CsNa2UCl8
1.0
6.022 0.000 0.000
0.167 7.749 0.000
1.882 3.211 9.725
Cs Na U Cl
1 2 1 8
Direct
0.000 0.000 0.000
0.447 0.473 0.177
0.553 0.527 0.823
0.000 0.500 0.500
0.138 0.491 0.721
0.262 0.255 0.460
0.291 0.739 0.349
0.487 0.235 0.042
0.513 0.765 0.958
0.709 0.261 0.651
0.738 0.745 0.540
0.862 0.509 0.279
```

Energy relative to the elements, uncorrected ... -167.2 kJ/mol of atoms
SG ... P-1 (2)
Uncorrected energy ... -0.3084 Ry per atom

***

Record 5
This record from Alexandria via LeMat-Bulk describes a relaxed structure of Ac2Pr7Er2. The functional is PBE.

Structure (POSCAR):
```
Ac2Pr7Er2
1.0
5.891 -5.992 0.000
5.891 5.992 0.000
-2.304 0.000 5.792
Ac Pr Er
2 7 2
Direct
0.221 0.221 0.108
0.779 0.779 0.892
0.000 0.000 0.500
0.044 0.593 0.324
0.407 0.956 0.676
0.426 0.426 0.703
0.574 0.574 0.297
0.593 0.044 0.324
0.956 0.407 0.676
0.231 0.769 0.000
0.769 0.231 0.000
```

SG ... C2/m (12)
Relative energy among the computed polymorphs ... 22 meV/atom
Energy of formation from the pure elements ... 0.15 eV per atom
D(E_F) ... 16.15 states/eV/cell
Uncorrected energy ... -0.3286 Ry per atom

***

Record 6
This record from Alexandria via LeMat-Bulk describes a relaxed structure of ZrRh2Au2. The functional is PBE.

Structure (POSCAR):
```
ZrRh2Au2
1.0
6.800 0.000 0.000
0.000 6.800 0.000
0.000 0.000 3.874
Zr Rh Au
2 4 4
Direct
0.000 0.000 0.000
0.500 0.500 0.000
0.136 0.364 0.000
0.364 0.864 0.000
0.636 0.136 0.000
0.864 0.636 0.000
0.163 0.663 0.500
0.337 0.163 0.500
0.663 0.837 0.500
0.837 0.337 0.500
```

SG ... P4/mbm (127)
Energy of formation from the pure elements ... -0.24 eV per atom
D(E_F) ... 5.79 states/eV/cell
Uncorrected energy ... -0.4561 Ry per atom